[1]
# PmErInNi PBE relaxed
data_PmErInNi
_chemical_formula_sum 'Pm4 Er4 In4 Ni4'
_space_group_name_H-M_alt 'F -4 3 m'
_space_group_IT_number 216
_space_group_name_Hall 'F -4 2 3'
_cell_length_a 7.271
_cell_length_b 7.271
_cell_length_c 7.271
_cell_angle_alpha 90.00
_cell_angle_beta 90.00
_cell_angle_gamma 90.00
loop_
_atom_site_label
_atom_site_type_symbol
_atom_site_fract_x
_atom_site_fract_y
_atom_site_fract_z
Pm1 Pm 0.000 0.000 0.000
Er1 Er 0.000 0.000 0.500
In1 In 0.250 0.250 0.250
Ni1 Ni 0.250 0.250 0.750
# **Crystal system**: cubic
# **Total energy**: -75.9 eV/cell

[2]
# CsHg5Au2 PBE relaxed
data_CsHg5Au2
_chemical_formula_sum 'Cs2 Hg10 Au4'
_space_group_name_H-M_alt 'C 1 2/m 1'
_space_group_IT_number 12
_cell_length_a 7.792
_cell_length_b 7.792
_cell_length_c 9.933
_cell_angle_alpha 90.00
_cell_angle_beta 113.02
_cell_angle_gamma 90.00
loop_
_space_group_symop_operation_xyz
'x,y,z'
'-x,-y,-z'
'-x,y,-z'
'x,-y,z'
'x+1/2,y+1/2,z'
'-x+1/2,-y+1/2,-z'
'-x+1/2,y+1/2,-z'
'x+1/2,-y+1/2,z'
loop_
_atom_site_label
_atom_site_type_symbol
_atom_site_fract_x
_atom_site_fract_y
_atom_site_fract_z
Cs1 Cs 0.000 0.000 0.000
Hg1 Hg 0.000 0.500 0.000
Hg2 Hg 0.084 0.250 0.669
Au1 Au 0.156 0.500 0.310
# **Crystal system**: monoclinic
# **ΔE to the lowest computed polymorph**: 0.00 kcal/mol of atoms

[3]
# Tb4Pr2Tm3 PBE relaxed
data_Tb4Pr2Tm3
_chemical_formula_sum 'Tb16 Pr8 Tm12'
_space_group_name_H-M_alt 'C 1 2/c 1'
_space_group_IT_number 15
_cell_length_a 16.200
_cell_length_b 11.668
_cell_length_c 6.164
_cell_angle_alpha 90.00
_cell_angle_beta 96.17
_cell_angle_gamma 90.00
loop_
_space_group_symop_operation_xyz
'x,y,z'
'-x,-y,-z'
'-x,y,-z+1/2'
'x,-y,z+1/2'
'x+1/2,y+1/2,z'
'-x+1/2,-y+1/2,-z'
'-x+1/2,y+1/2,-z+1/2'
'x+1/2,-y+1/2,z+1/2'
loop_
_atom_site_label
_atom_site_type_symbol
_atom_site_fract_x
_atom_site_fract_y
_atom_site_fract_z
Tb1 Tb 0.048 0.140 0.014
Tb2 Tb 0.216 0.361 0.848
Pr1 Pr 0.121 0.355 0.321
Tm1 Tm 0.000 0.400 0.750
Tm2 Tm 0.165 0.099 0.592
# **Crystal system**: monoclinic
# **Total energy**: -162.7 eV/cell

Magnetization for every record listed, in sequence, given in Bohr magnetons per cell: 0.00 0.00 0.00.